MnPO4 | PBE with a Hubbard U | relaxed

```
24
Lattice="5.8618 0.0000 0.0000 0.0000 7.4073 0.0000 -4.1811 0.0000 8.0260" Properties=species:S:1:pos:R:3 pbc="T T T"
Mn 0.8259 1.3638 0.4069
Mn -1.2647 2.3399 4.4199
Mn 2.9454 5.0675 3.6061
Mn 0.8548 6.0435 7.6191
P 0.0990 3.9943 2.1745
P -1.9915 7.1167 6.1875
P 3.6722 0.2906 1.8385
P 1.5817 3.4131 5.8515
O -0.3260 4.7452 0.9294
O -2.4165 6.3658 4.9425
O -1.1785 3.8353 3.1252
O -3.2691 7.2757 7.1382
O -1.5402 1.1561 5.8836
O 0.5503 2.5475 1.8705
O 1.1589 4.7445 2.9784
O -0.9316 6.3665 6.9914
O 2.6124 1.0408 1.0346
O 0.5218 2.6628 5.0476
O 1.1304 4.8598 6.1555
O 3.2209 6.2512 2.1425
O 4.9498 0.1316 0.8879
O 2.8592 3.5720 4.9009
O 4.0972 1.0415 3.0836
O 2.0067 2.6622 7.0966
```

Calculated values
As for the calculated volume: 87 Å³/f.u. The space group is P2_1/c, No. 14. The calculation puts the uncorrected energy at -177.5 eV/cell.